# PBE CaPmZnAg, relaxed
# - Crystal system: cubic
# - Calculated total energy: -3.008 eV per atom
# - DOS(E_F): 3.483 states/eV/f.u.
# - Energy relative to the elements: -289 meV per atom
data_CaPmZnAg
_cell_length_a 7.372
_cell_length_b 7.372
_cell_length_c 7.372
_cell_angle_alpha 90.00
_cell_angle_beta 90.00
_cell_angle_gamma 90.00
_space_group_name_H-M_alt 'F -4 3 m'
_space_group_IT_number 216
_space_group_name_Hall 'F -4 2 3'
loop_
_atom_site_label
_atom_site_type_symbol
_atom_site_fract_x
_atom_site_fract_y
_atom_site_fract_z
_atom_site_occupancy
Ca1 Ca 0.000 0.000 0.000 1
Pm1 Pm 0.000 0.000 0.500 1
Zn1 Zn 0.250 0.250 0.750 1
Ag1 Ag 0.250 0.250 0.250 1


# PBE CaPmZnAg, relaxed
# - Crystal system: tetragonal
# - Calculated total energy: -3.010 eV per atom
# - DOS(E_F): 3.428 states/eV/f.u.
# - Energy relative to the elements: -291 meV per atom
data_CaPmZnAg
_cell_length_a 3.714
_cell_length_b 3.714
_cell_length_c 7.335
_cell_angle_alpha 90.00
_cell_angle_beta 90.00
_cell_angle_gamma 90.00
_space_group_name_H-M_alt 'P 4 m m'
_space_group_IT_number 99
_space_group_name_Hall 'P 4 -2'
loop_
_atom_site_label
_atom_site_type_symbol
_atom_site_fract_x
_atom_site_fract_y
_atom_site_fract_z
_atom_site_occupancy
Ca1 Ca 0.000 0.000 0.000 1
Pm1 Pm 0.000 0.000 0.489 1
Zn1 Zn 0.500 0.500 0.256 1
Ag1 Ag 0.500 0.500 0.738 1


# PBE CaPr7Ag4, relaxed
# - Crystal system: monoclinic
# - Calculated total energy: -3.863 eV per atom
# - DOS(E_F): 14.760 states/eV/f.u.
# - Energy relative to the elements: 42 meV per atom
data_CaPr7Ag4
_cell_length_a 13.892
_cell_length_b 5.825
_cell_length_c 11.057
_cell_angle_alpha 90.00
_cell_angle_beta 124.73
_cell_angle_gamma 90.00
_space_group_name_H-M_alt 'C 1 2/m 1'
_space_group_IT_number 12
_space_group_name_Hall '-C 2y'
loop_
_atom_site_label
_atom_site_type_symbol
_atom_site_fract_x
_atom_site_fract_y
_atom_site_fract_z
_atom_site_occupancy
Ca1 Ca 0.000 0.000 0.000 1
Pr1 Pr 0.000 0.500 0.000 1
Pr2 Pr 0.063 0.000 0.384 1
Pr3 Pr 0.181 0.500 0.619 1
Pr4 Pr 0.220 0.000 0.880 1
Ag1 Ag 0.059 0.500 0.774 1
Ag2 Ag 0.188 0.500 0.335 1


# PBE CaPr2Ag5, relaxed
# - Crystal system: tetragonal
# - Calculated total energy: -3.430 eV per atom
# - DOS(E_F): 6.008 states/eV/f.u.
# - Energy relative to the elements: -203 meV per atom
data_CaPr2Ag5
_cell_length_a 5.210
_cell_length_b 5.210
_cell_length_c 14.360
_cell_angle_alpha 90.00
_cell_angle_beta 90.00
_cell_angle_gamma 90.00
_space_group_name_H-M_alt 'I 4/m m m'
_space_group_IT_number 139
_space_group_name_Hall '-I 4 2'
loop_
_atom_site_label
_atom_site_type_symbol
_atom_site_fract_x
_atom_site_fract_y
_atom_site_fract_z
_atom_site_occupancy
Ca1 Ca 0.000 0.000 0.000 1
Pr1 Pr 0.000 0.000 0.269 1
Ag1 Ag 0.000 0.000 0.500 1
Ag2 Ag 0.000 0.500 0.113 1